Compound: As2CSeS
Source: Alexandria
Functional: GGA-PBE
Structure: relaxed

Geometry as POSCAR:
```
As2CSeS
1.0
4.8124 0.0000 0.0000
0.0000 4.8124 0.0000
0.0000 0.0000 4.7451
As C Se S
2 1 1 1
direct
0.0000 0.5000 0.0000
0.5000 0.0000 0.0000
0.0000 0.0000 0.5000
0.5000 0.5000 0.5000
0.5000 0.5000 0.0000
```

Computed properties:
E_form (uncorrected)	2.0066	eV/atom
DFT total energy	-0.1183	hartree per atom
polymorph energy (0 for the lowest one)	770	meV per atom